1.
Compound: Y2IrBr
Source: Alexandria
Functional: PBE-GGA
Structure: relaxed

```
4
Lattice="-2.016 2.016 5.671 2.016 -2.016 5.671 2.016 2.016 -5.671" Properties=species:S:1:pos:R:3 pbc="T T T"
Y 0.000 0.000 0.000
Y 0.000 2.016 2.835
Ir 0.000 0.000 5.671
Br 2.016 0.000 2.835
```

Computed properties:
excess energy over the best structure of this formula in the dataset = 0.5651 eV per atom
formation energy without anion corrections = -0.520 eV/atom
symmetry = I-4m2, No. 119
V = 92 Å³ per cell

***

2.
Compound: LiNdSn5
Source: Alexandria
Functional: PBE-GGA
Structure: relaxed

```
7
Lattice="4.551 0.000 0.000 0.000 4.551 0.000 0.000 0.000 8.905" Properties=species:S:1:pos:R:3 pbc="T T T"
Li 0.000 0.000 0.000
Nd 2.275 2.275 4.452
Sn 0.000 0.000 4.452
Sn 0.000 2.275 1.850
Sn 0.000 2.275 7.054
Sn 2.275 0.000 1.850
Sn 2.275 0.000 7.054
```

Computed properties:
symmetry = P4/mmm, No. 123
V = 184 Å³ per cell
DFT formation energy = -0.333 eV per atom

***

3.
Compound: Ca2InSnAu6
Source: Alexandria
Functional: PBE-GGA
Structure: relaxed

```
10
Lattice="0.000 5.198 5.198 5.198 0.000 5.198 5.198 5.198 0.000" Properties=species:S:1:pos:R:3 pbc="T T T"
Ca 2.599 2.599 2.599
Ca 7.797 7.797 7.797
In 0.000 0.000 0.000
Sn 5.198 5.198 5.198
Au 5.198 5.198 2.599
Au 5.198 2.599 5.198
Au 7.798 5.198 5.198
Au 2.599 5.198 5.198
Au 5.198 7.798 5.198
Au 5.198 5.198 7.798
```

Computed properties:
symmetry = Fm-3m, No. 225
V = 281 Å³ per cell
DFT formation energy = -0.115 eV per atom

***

4.
Compound: LuBiPdRh
Source: Alexandria
Functional: PBE-GGA
Structure: relaxed

```
4
Lattice="0.000 3.400 3.400 3.400 0.000 3.400 3.400 3.400 0.000" Properties=species:S:1:pos:R:3 pbc="T T T"
Lu 0.000 0.000 0.000
Bi 3.400 3.400 3.400
Pd 1.700 1.700 1.700
Rh 5.101 5.101 5.101
```

Computed properties:
symmetry = F-43m, No. 216
V = 79 Å³ per cell
DFT formation energy = -0.640 eV per atom

***

5.
Compound: Tm2PaAsO8
Source: Alexandria
Functional: PBE-GGA
Structure: relaxed

```
12
Lattice="3.415 -3.512 0.000 3.415 3.512 0.000 0.000 0.000 6.681" Properties=species:S:1:pos:R:3 pbc="T T T"
Tm 0.000 0.000 1.567
Tm 0.000 0.000 5.114
Pa 3.415 0.000 3.340
As 3.415 0.000 0.000
O 1.327 0.000 3.340
O 1.573 0.000 0.000
O 3.415 1.265 1.452
O 3.415 1.265 5.228
O 3.415 -1.265 1.452
O 3.415 -1.265 5.228
O 5.257 0.000 0.000
O 5.503 0.000 3.340
```

Computed properties:
formation energy without anion corrections = -2.867 eV/atom
symmetry = Cmmm, No. 65
V = 160 Å³ per cell

***

6.
Compound: Mn2GeHN
Source: Alexandria
Functional: PBE-GGA
Structure: relaxed

```
5
Lattice="2.757 0.000 0.000 0.000 3.756 0.000 1.372 0.046 5.040" Properties=species:S:1:pos:R:3 pbc="T T T"
Mn 0.000 0.000 0.000
Mn 1.365 3.743 2.529
Ge 2.742 1.869 1.682
H 1.370 1.782 4.928
N 2.749 3.745 3.848
```

Computed properties:
excess energy over the best structure of this formula in the dataset = 0.1152 eV per atom
symmetry = P1, No. 1
V = 52 Å³ per cell